(1)
Entry from Alexandria via LeMat-Bulk: a relaxed ZnSi2SeN crystal (PBE).

```
ZnSi2SeN
1.0
4.159 0.000 0.000
0.000 4.159 0.000
0.000 0.000 4.469
Zn Si Se N
1 2 1 1
Direct
0.000 0.000 0.000 Zn
0.000 0.500 0.500 Si
0.500 0.000 0.500 Si
0.500 0.500 0.000 Se
0.000 0.000 0.500 N
```

***

(2)
HgWCl (PBE, relaxed); ΔE to the lowest computed polymorph = 3.171 eV/f.u.
1.0
6.813 0.000 0.000
0.000 6.813 0.000
0.000 0.000 6.813
Hg W Cl
4 4 4
Direct
0.000 0.000 0.000 Hg
0.000 0.500 0.500 Hg
0.500 0.000 0.500 Hg
0.500 0.500 0.000 Hg
0.250 0.250 0.750 W
0.250 0.750 0.250 W
0.750 0.250 0.250 W
0.750 0.750 0.750 W
0.000 0.000 0.500 Cl
0.000 0.500 0.000 Cl
0.500 0.000 0.000 Cl
0.500 0.500 0.500 Cl

***

| no. | DOS at the Fermi energy (states/eV/cell) | raw formation energy (eV per atom) |
| --- | --- | --- |
| 1 | 2.736 | 0.614 |
| 2 | 8.010 | 1.377 |